[1]
# In2PtSe, optimized geometry, DFT PBE-GGA
data_In2PtSe
_chemical_formula_sum 'In8 Pt4 Se4'
_cell_length_a 6.815
_cell_length_b 6.815
_cell_length_c 9.781
_cell_angle_alpha 90.00
_cell_angle_beta 90.00
_cell_angle_gamma 90.00
_symmetry_space_group_name_H-M 'I -4 2 d'
_symmetry_Int_Tables_number 122
_symmetry_space_group_name_Hall 'I -4 2bw'
loop_
_atom_site_label
_atom_site_type_symbol
_atom_site_fract_x
_atom_site_fract_y
_atom_site_fract_z
In1 In 0.234 0.250 0.125
Pt1 Pt 0.000 0.000 0.000
Se1 Se 0.000 0.000 0.500
# Formation energy from raw total energies, eV per atom: -0.21
# VASP energy, eV per atom: -3.959



[2]
# Na3Ga4Pt2, optimized geometry, DFT PBE-GGA
data_Na3Ga4Pt2
_chemical_formula_sum 'Na6 Ga8 Pt4'
_cell_length_a 10.932
_cell_length_b 4.325
_cell_length_c 8.698
_cell_angle_alpha 90.00
_cell_angle_beta 109.25
_cell_angle_gamma 90.00
_symmetry_space_group_name_H-M 'C 1 2/m 1'
_symmetry_Int_Tables_number 12
loop_
_symmetry_equiv_pos_as_xyz
'x,y,z'
'-x,-y,-z'
'-x,y,-z'
'x,-y,z'
'x+1/2,y+1/2,z'
'-x+1/2,-y+1/2,-z'
'-x+1/2,y+1/2,-z'
'x+1/2,-y+1/2,z'
loop_
_atom_site_label
_atom_site_type_symbol
_atom_site_fract_x
_atom_site_fract_y
_atom_site_fract_z
Na1 Na 0.000 0.000 0.000
Na2 Na 0.115 0.500 0.372
Ga1 Ga 0.099 0.000 0.632
Ga2 Ga 0.212 0.500 0.071
Pt1 Pt 0.196 0.500 0.773
# VASP energy, eV per atom: -3.506
# Calculated formation energy, meV per atom: -379



Total moment, record by record: 0.00; 0.00 μB per cell